! CsDyMn2F8, relaxed, DFT PBE+U; values from VASP
! Total DFT energy (no corrections): -6.04 eV/atom
! DOS at the Fermi energy: 0.000 states/eV/f.u.
&SYSTEM
  ibrav = 0, nat = 12, ntyp = 4
/
ATOMIC_SPECIES
Cs 132.91 Cs.upf
Dy 162.50 Dy.upf
Mn 54.94 Mn.upf
F 19.00 F.upf
CELL_PARAMETERS angstrom
6.1164 0.0000 0.0000
-3.0582 5.2970 0.0000
0.0000 0.0000 8.3835
ATOMIC_POSITIONS crystal
Cs 0.0000 0.0000 0.0000
Dy 0.0000 0.0000 0.5000
Mn 0.3333 0.6667 0.7666
Mn 0.6667 0.3333 0.2334
F 0.1276 0.3202 0.6625
F 0.1926 0.8724 0.6625
F 0.3202 0.1926 0.3375
F 0.3333 0.6667 0.9981
F 0.6667 0.3333 0.0019
F 0.6798 0.8074 0.6625
F 0.8074 0.1276 0.3375
F 0.8724 0.6798 0.3375